Entry i
A relaxed HoMgSc4 crystal. Source: Alexandria, functional PBE-GGA.

a = 5.7024 Å, b = 5.7024 Å, c = 11.1263 Å
α = 104.21°, β = 104.21°, γ = 60.75°
Fractional coordinates of all 12 atoms:
Sc: 0.3371 0.8314 0.0032
Sc: 0.6629 0.1686 0.9968
Sc: 0.1686 0.6629 0.4968
Sc: 0.7467 0.5819 0.2506
Sc: 0.5819 0.7467 0.7506
Sc: 0.4181 0.2533 0.2494
Sc: 0.8314 0.3371 0.5032
Sc: 0.2533 0.4181 0.7494
Ho: 0.5000 0.0000 0.5000
Ho: 0.0000 0.5000 0.0000
Mg: 0.9257 0.0743 0.7500
Mg: 0.0743 0.9257 0.2500

Entry ii
A relaxed HoMgSc4 crystal. Source: Alexandria, functional PBE-GGA.

a = 3.3284 Å, b = 3.3284 Å, c = 13.6626 Å
α = 90.00°, β = 90.00°, γ = 90.00°
Fractional coordinates of all 6 atoms:
Ho: 0.0000 0.0000 0.0000
Mg: 0.5000 0.5000 0.5000
Sc: 0.5000 0.5000 0.1778
Sc: 0.0000 0.0000 0.6603
Sc: 0.5000 0.5000 0.8222
Sc: 0.0000 0.0000 0.3397

The relative energies come out as entry i 46; entry ii 0, with values in meV per atom.

Entry i
A relaxed HoMgSc crystal. Source: Alexandria, functional PBE-GGA.

a = 9.2810 Å, b = 9.2810 Å, c = 9.2810 Å
α = 20.04°, β = 20.04°, γ = 20.04°
Fractional coordinates of all 3 atoms:
Mg: 0.1566 0.1566 0.1566
Sc: 0.9199 0.9199 0.9199
Ho: 0.0367 0.0367 0.0367

Entry ii
A relaxed HoMgSc crystal. Source: Alexandria, functional PBE-GGA.

a = 3.3564 Å, b = 3.3602 Å, c = 14.3084 Å
α = 90.00°, β = 76.43°, γ = 90.01°
Fractional coordinates of all 6 atoms:
Mg: 0.8003 0.7928 0.3297
Mg: 0.4453 0.2925 0.1827
Sc: 0.4533 0.7900 0.6754
Sc: 0.7909 0.2899 0.8368
Ho: 0.1274 0.2909 0.5026
Ho: 0.1173 0.7907 0.0097

The relative energies come out as entry i 296; entry ii 0, with values in meV per atom.

Entry i
A relaxed HoMgSc crystal. Source: Alexandria, functional PBE-GGA.

a = 3.4598 Å, b = 3.4598 Å, c = 7.0044 Å
α = 104.30°, β = 104.30°, γ = 90.00°
Fractional coordinates of all 3 atoms:
Sc: 0.3272 0.3272 0.6544
Ho: 0.9991 0.9991 0.9983
Mg: 0.6737 0.6737 0.3473

Entry ii
A relaxed HoMgSc crystal. Source: Alexandria, functional PBE-GGA.

a = 3.2563 Å, b = 5.2752 Å, c = 5.2752 Å
α = 120.00°, β = 90.00°, γ = 90.00°
Fractional coordinates of all 3 atoms:
Ho: 0.6891 0.6667 0.3333
Sc: 0.2618 0.3333 0.6667
Mg: 0.0491 0.0000 0.0000

The relative energies come out as entry i 0; entry ii 79, with values in meV per atom.

Entry i
A relaxed Ho2MgSc2 crystal. Source: Alexandria, functional PBE-GGA.

a = 5.6045 Å, b = 5.3351 Å, c = 10.8334 Å
α = 60.49°, β = 104.99°, γ = 90.00°
Fractional coordinates of all 10 atoms:
Sc: 0.9762 0.1676 0.5824
Sc: 0.6063 0.6676 0.5824
Sc: 0.3937 0.3324 0.4176
Sc: 0.0238 0.8324 0.4176
Ho: 0.6063 0.9535 0.7965
Ho: 0.1902 0.4535 0.7965
Ho: 0.8098 0.5465 0.2035
Ho: 0.3937 0.0465 0.2035
Mg: 0.2053 0.7500 0.0000
Mg: 0.7947 0.2500 0.0000

Entry ii
A relaxed Ho2MgSc2 crystal. Source: Alexandria, functional PBE-GGA.

a = 4.0460 Å, b = 4.0460 Å, c = 9.2837 Å
α = 102.59°, β = 102.59°, γ = 90.00°
Fractional coordinates of all 5 atoms:
Mg: 0.0000 0.0000 0.0000
Sc: 0.2500 0.7500 0.5000
Sc: 0.7500 0.2500 0.5000
Ho: 0.4038 0.4038 0.8075
Ho: 0.5962 0.5962 0.1925

The relative energies come out as entry i 0; entry ii 306, with values in meV per atom.

Entry i
A relaxed Ho2Mg4Sc crystal. Source: Alexandria, functional PBE-GGA.

a = 5.2410 Å, b = 5.9050 Å, c = 7.2073 Å
α = 114.18°, β = 90.00°, γ = 90.00°
Fractional coordinates of all 7 atoms:
Mg: 0.0000 0.7273 0.4545
Mg: 0.5000 0.6118 0.2237
Mg: 0.0000 0.2727 0.5455
Mg: 0.5000 0.3882 0.7763
Ho: 0.5000 0.8666 0.7332
Ho: 0.5000 0.1334 0.2668
Sc: 0.0000 0.5000 0.0000

Entry ii
A relaxed Ho2Mg4Sc crystal. Source: Alexandria, functional PBE-GGA.

a = 5.2120 Å, b = 5.2120 Å, c = 8.2252 Å
α = 71.53°, β = 71.53°, γ = 60.00°
Fractional coordinates of all 7 atoms:
Mg: 0.5698 0.5698 0.2905
Mg: 0.4302 0.4302 0.7095
Mg: 0.1378 0.1378 0.5866
Mg: 0.8622 0.8622 0.4134
Ho: 0.2884 0.2884 0.1348
Ho: 0.7116 0.7116 0.8652
Sc: 0.0000 0.0000 0.0000

The relative energies come out as entry i 401; entry ii 0, with values in meV per atom.

Entry i
A relaxed HoMg4Sc crystal. Source: Alexandria, functional PBE-GGA.

a = 5.1452 Å, b = 6.0729 Å, c = 6.0751 Å
α = 94.87°, β = 64.95°, γ = 64.94°
Fractional coordinates of all 6 atoms:
Mg: 0.2522 0.4142 0.0815
Mg: 0.7478 0.5858 0.9185
Mg: 0.7491 0.9173 0.5845
Mg: 0.2509 0.0827 0.4155
Sc: 0.0000 0.0000 0.0000
Ho: 0.5000 0.5000 0.5000

Entry ii
A relaxed HoMg4Sc crystal. Source: Alexandria, functional PBE-GGA.

a = 5.1420 Å, b = 3.2045 Å, c = 9.4736 Å
α = 109.62°, β = 90.00°, γ = 90.00°
Fractional coordinates of all 6 atoms:
Mg: 0.0000 0.8351 0.3386
Mg: 0.5000 0.6700 0.1731
Mg: 0.5000 0.3300 0.8269
Mg: 0.0000 0.1649 0.6614
Sc: 0.5000 0.5000 0.5000
Ho: 0.0000 0.0000 0.0000

The relative energies come out as entry i 5; entry ii 0, with values in meV per atom.

Entry i
A relaxed HoMg5Sc2 crystal. Source: Alexandria, functional PBE-GGA.

a = 5.1284 Å, b = 5.1284 Å, c = 8.1183 Å
α = 108.41°, β = 108.41°, γ = 90.00°
Fractional coordinates of all 8 atoms:
Ho: 0.0000 0.0000 0.0000
Mg: 0.1283 0.6283 0.2566
Mg: 0.3717 0.8717 0.7434
Mg: 0.6283 0.1283 0.2566
Mg: 0.5000 0.5000 0.0000
Mg: 0.8717 0.3717 0.7434
Sc: 0.2545 0.2545 0.5090
Sc: 0.7455 0.7455 0.4910

Entry ii
A relaxed HoMg5Sc2 crystal. Source: Alexandria, functional PBE-GGA.

a = 8.0360 Å, b = 8.0360 Å, c = 8.3469 Å
α = 118.78°, β = 118.78°, γ = 90.00°
Fractional coordinates of all 16 atoms:
Mg: 0.5000 0.5000 0.0000
Mg: 0.8069 0.0207 0.3276
Mg: 0.0000 0.0000 0.0000
Mg: 0.3069 0.8069 0.3276
Mg: 0.6931 0.1931 0.6724
Mg: 0.5207 0.3069 0.3276
Mg: 0.1931 0.9793 0.6724
Mg: 0.9793 0.4793 0.6724
Mg: 0.0207 0.5207 0.3276
Mg: 0.4793 0.6931 0.6724
Ho: 0.2500 0.2500 0.5000
Ho: 0.7500 0.7500 0.5000
Sc: 0.6544 0.1544 0.0000
Sc: 0.3456 0.8456 0.0000
Sc: 0.1544 0.3456 0.0000
Sc: 0.8456 0.6544 0.0000

The relative energies come out as entry i 0; entry ii 141, with values in meV per atom.

Entry i
A relaxed Ho6MgSc2 crystal. Source: Alexandria, functional PBE-GGA.

a = 4.9108 Å, b = 10.2626 Å, c = 10.2629 Å
α = 90.00°, β = 90.00°, γ = 90.00°
Fractional coordinates of all 18 atoms:
Ho: 0.0000 0.9987 0.8317
Ho: 0.5000 0.1621 0.6621
Ho: 0.5001 0.8317 0.0013
Ho: 0.5000 0.4987 0.6683
Ho: 0.9999 0.3316 0.4987
Ho: 0.0001 0.6621 0.8379
Ho: 0.9999 0.3379 0.1621
Ho: 0.5000 0.5013 0.3317
Ho: 0.0001 0.6684 0.5013
Ho: 0.0000 0.0013 0.1683
Ho: 0.5000 0.8379 0.3379
Ho: 0.4999 0.1683 0.9987
Sc: 0.4998 0.1710 0.3290
Sc: 0.0001 0.6710 0.1710
Sc: 0.5002 0.8290 0.6710
Sc: 0.9999 0.3290 0.8290
Mg: 0.0000 0.0000 0.5000
Mg: 0.5000 0.5000 0.0000

Entry ii
A relaxed Ho6MgSc2 crystal. Source: Alexandria, functional PBE-GGA.

a = 3.4774 Å, b = 9.1728 Å, c = 9.1849 Å
α = 115.25°, β = 90.00°, γ = 79.07°
Fractional coordinates of all 9 atoms:
Sc: 0.8520 0.7959 0.6640
Sc: 0.1480 0.2041 0.3360
Mg: 0.0000 0.5000 0.0000
Ho: 0.1870 0.1255 0.6651
Ho: 0.4805 0.5397 0.3370
Ho: 0.3338 0.8326 0.9908
Ho: 0.8130 0.8745 0.3349
Ho: 0.5195 0.4603 0.6630
Ho: 0.6662 0.1674 0.0092

The relative energies come out as entry i 23; entry ii 0, with values in meV per atom.

Entry i
A relaxed Ho6MgSc crystal. Source: Alexandria, functional PBE-GGA.

a = 9.1985 Å, b = 9.1987 Å, c = 6.2368 Å
α = 42.48°, β = 42.48°, γ = 59.98°
Fractional coordinates of all 8 atoms:
Ho: 0.0442 0.4999 0.7035
Ho: 0.5001 0.2476 0.2965
Ho: 0.7524 0.0443 0.7035
Ho: 0.9558 0.5001 0.2965
Ho: 0.2476 0.9557 0.2965
Ho: 0.4999 0.7524 0.7035
Mg: 0.0000 0.0000 0.0000
Sc: 0.5000 0.5000 0.5000

Entry ii
A relaxed Ho6MgSc crystal. Source: Alexandria, functional PBE-GGA.

a = 4.8748 Å, b = 4.8748 Å, c = 9.8358 Å
α = 90.00°, β = 90.00°, γ = 90.00°
Fractional coordinates of all 8 atoms:
Mg: 0.0000 0.0000 0.5000
Ho: 0.5000 0.5000 0.0000
Ho: 0.5000 0.5000 0.5000
Ho: 0.0000 0.5000 0.2475
Ho: 0.5000 0.0000 0.7525
Ho: 0.5000 0.0000 0.2475
Ho: 0.0000 0.5000 0.7525
Sc: 0.0000 0.0000 0.0000

The relative energies come out as entry i 118; entry ii 0, with values in meV per atom.

Entry i
A relaxed Ho3MgSc2 crystal. Source: Alexandria, functional PBE-GGA.

a = 3.4728 Å, b = 3.4728 Å, c = 13.7063 Å
α = 90.00°, β = 90.00°, γ = 90.00°
Fractional coordinates of all 6 atoms:
Mg: 0.5000 0.5000 0.5000
Ho: 0.0000 0.0000 0.0000
Ho: 0.0000 0.0000 0.3339
Ho: 0.0000 0.0000 0.6661
Sc: 0.5000 0.5000 0.8320
Sc: 0.5000 0.5000 0.1680

Entry ii
A relaxed Ho3MgSc2 crystal. Source: Alexandria, functional PBE-GGA.

a = 6.7806 Å, b = 5.8604 Å, c = 8.9877 Å
α = 90.01°, β = 112.16°, γ = 90.00°
Fractional coordinates of all 12 atoms:
Mg: 0.1300 0.2500 0.0000
Mg: 0.8700 0.7500 0.0000
Ho: 0.6276 0.2500 0.0000
Ho: 0.2960 0.5849 0.3378
Ho: 0.0418 0.0849 0.3378
Ho: 0.3724 0.7500 0.0000
Ho: 0.7040 0.4151 0.6622
Ho: 0.9582 0.9151 0.6622
Sc: 0.2104 0.4168 0.6644
Sc: 0.7896 0.5831 0.3356
Sc: 0.5461 0.0832 0.3356
Sc: 0.4539 0.9168 0.6644

The relative energies come out as entry i 0; entry ii 34, with values in meV per atom.

Entry i
A relaxed Ho6MgSc3 crystal. Source: Alexandria, functional PBE-GGA.

a = 3.4439 Å, b = 14.7918 Å, c = 11.3400 Å
α = 101.80°, β = 90.00°, γ = 90.00°
Fractional coordinates of all 20 atoms:
Ho: 0.2500 0.0570 0.9090
Ho: 0.7500 0.5478 0.8980
Ho: 0.2500 0.8455 0.2932
Ho: 0.7500 0.7460 0.4939
Ho: 0.2500 0.1484 0.2071
Ho: 0.2500 0.6462 0.6948
Ho: 0.2500 0.4522 0.1020
Ho: 0.7500 0.3538 0.3052
Ho: 0.7500 0.1545 0.7068
Ho: 0.7500 0.8516 0.7929
Ho: 0.7500 0.9430 0.0910
Ho: 0.2500 0.2540 0.5061
Sc: 0.7500 0.4501 0.6014
Sc: 0.2500 0.3497 0.8019
Sc: 0.7500 0.6503 0.1981
Sc: 0.7500 0.2533 0.0018
Sc: 0.2500 0.5499 0.3986
Sc: 0.2500 0.7467 0.9982
Mg: 0.2500 0.9536 0.5928
Mg: 0.7500 0.0464 0.4072

Entry ii
A relaxed Ho6MgSc3 crystal. Source: Alexandria, functional PBE-GGA.

a = 6.2529 Å, b = 10.7866 Å, c = 10.7866 Å
α = 128.56°, β = 90.00°, γ = 90.00°
Fractional coordinates of all 20 atoms:
Ho: 0.5642 0.6281 0.7365
Ho: 0.5642 0.2635 0.3719
Ho: 0.7708 0.2908 0.7092
Ho: 0.3288 0.0996 0.5322
Ho: 0.2708 0.7092 0.2908
Ho: 0.0642 0.7365 0.6281
Ho: 0.3288 0.4678 0.9004
Ho: 0.8288 0.5322 0.0996
Ho: 0.0642 0.3719 0.2635
Ho: 0.8288 0.9004 0.4678
Ho: 0.8036 0.0182 0.9818
Ho: 0.3036 0.9818 0.0182
Sc: 0.9856 0.0455 0.2954
Sc: 0.0922 0.4113 0.5887
Sc: 0.5922 0.5887 0.4113
Sc: 0.4856 0.9545 0.7046
Sc: 0.9856 0.7046 0.9545
Sc: 0.4856 0.2954 0.0455
Mg: 0.5616 0.8456 0.1544
Mg: 0.0616 0.1544 0.8456

The relative energies come out as entry i 0; entry ii 61, with values in meV per atom.